(1)
# SCAN Zr3HRh, single point on PBEsol structure
data_Zr3HRh
_symmetry_space_group_name_H-M 'P m -3 m'
_symmetry_Int_Tables_number 221
_symmetry_space_group_name_Hall '-P 4 2 3'
_cell_length_a 4.300
_cell_length_b 4.300
_cell_length_c 4.300
_cell_angle_alpha 90.00
_cell_angle_beta 90.00
_cell_angle_gamma 90.00
loop_
_atom_site_label
_atom_site_type_symbol
_atom_site_fract_x
_atom_site_fract_y
_atom_site_fract_z
Zr1 Zr 0.000 0.000 0.500
H1 H 0.000 0.000 0.000
Rh1 Rh 0.500 0.500 0.500
# - electronic total energy (Ry/atom) = -1.92590
# - crystal system = cubic

---

(2)
# SCAN Li2POs, single point on PBEsol structure
data_Li2POs
_symmetry_space_group_name_H-M 'P 4/m m m'
_symmetry_Int_Tables_number 123
_symmetry_space_group_name_Hall '-P 4 2'
_cell_length_a 2.520
_cell_length_b 2.520
_cell_length_c 8.233
_cell_angle_alpha 90.00
_cell_angle_beta 90.00
_cell_angle_gamma 90.00
loop_
_atom_site_label
_atom_site_type_symbol
_atom_site_fract_x
_atom_site_fract_y
_atom_site_fract_z
Li1 Li 0.000 0.000 0.236
P1 P 0.500 0.500 0.000
Os1 Os 0.500 0.500 0.500
# - ΔH_f (0 K) (eV/atom) = -0.042
# - crystal system = tetragonal

---

(3)
# SCAN Zn2AgCl, single point on PBEsol structure
data_Zn2AgCl
_symmetry_space_group_name_H-M 'C 1 2/m 1'
_symmetry_Int_Tables_number 12
_cell_length_a 8.875
_cell_length_b 3.224
_cell_length_c 6.967
_cell_angle_alpha 90.00
_cell_angle_beta 125.35
_cell_angle_gamma 90.00
loop_
_symmetry_equiv_pos_as_xyz
'x,y,z'
'-x,-y,-z'
'-x,y,-z'
'x,-y,z'
'x+1/2,y+1/2,z'
'-x+1/2,-y+1/2,-z'
'-x+1/2,y+1/2,-z'
'x+1/2,-y+1/2,z'
loop_
_atom_site_label
_atom_site_type_symbol
_atom_site_fract_x
_atom_site_fract_y
_atom_site_fract_z
Zn1 Zn 0.217 0.000 0.337
Ag1 Ag 0.000 0.000 0.500
Cl1 Cl 0.000 0.500 0.000
# - energy relative to the lowest polymorph listed for this composition (meV per atom) = 8
# - crystal system = monoclinic

---

(4)
# SCAN LaMn3Ni2, single point on PBEsol structure
data_LaMn3Ni2
_symmetry_space_group_name_H-M 'P 6/m m m'
_symmetry_Int_Tables_number 191
_symmetry_space_group_name_Hall '-P 6 2'
_cell_length_a 8.9387
_cell_length_b 8.9387
_cell_length_c 4.0923
_cell_angle_alpha 90.00
_cell_angle_beta 90.00
_cell_angle_gamma 120.00
loop_
_atom_site_label
_atom_site_type_symbol
_atom_site_fract_x
_atom_site_fract_y
_atom_site_fract_z
La1 La 0.0000 0.0000 0.0000
La2 La 0.3333 0.6667 0.5000
Mn1 Mn 0.0000 0.3056 0.5000
Mn2 Mn 0.0000 0.5000 0.0000
Ni1 Ni 0.1796 0.3591 0.0000
# - ΔH_f (0 K) (eV/atom) = -0.262
# - crystal system = hexagonal

---

(5)
# SCAN La2Mg3, single point on PBEsol structure
data_La2Mg3
_symmetry_space_group_name_H-M 'P -3 m 1'
_symmetry_Int_Tables_number 164
_symmetry_space_group_name_Hall '-P 3 2"'
_cell_length_a 5.3989
_cell_length_b 5.3989
_cell_length_c 6.7469
_cell_angle_alpha 90.00
_cell_angle_beta 90.00
_cell_angle_gamma 120.00
loop_
_atom_site_label
_atom_site_type_symbol
_atom_site_fract_x
_atom_site_fract_y
_atom_site_fract_z
La1 La 0.3333 0.6667 0.3414
Mg1 Mg 0.0000 0.0000 0.5000
Mg2 Mg 0.3333 0.6667 0.8457
# - ΔH_f (0 K) (eV/atom) = 0.235
# - crystal system = trigonal

---

(6)
# SCAN NaGa2Pd2, single point on PBEsol structure
data_NaGa2Pd2
_symmetry_space_group_name_H-M 'P 4/m b m'
_symmetry_Int_Tables_number 127
_symmetry_space_group_name_Hall '-P 4 2ab'
_cell_length_a 7.544
_cell_length_b 7.544
_cell_length_c 2.787
_cell_angle_alpha 90.00
_cell_angle_beta 90.00
_cell_angle_gamma 90.00
loop_
_atom_site_label
_atom_site_type_symbol
_atom_site_fract_x
_atom_site_fract_y
_atom_site_fract_z
Na1 Na 0.000 0.000 0.000
Ga1 Ga 0.153 0.347 0.500
Pd1 Pd 0.143 0.643 0.000
# - energy relative to the lowest polymorph listed for this composition (meV per atom) = 0
# - ΔH_f (0 K) (eV/atom) = -0.568
# - crystal system = tetragonal

---

(7)
# SCAN Zn2SiAg, single point on PBEsol structure
data_Zn2SiAg
_symmetry_space_group_name_H-M 'I m m m'
_symmetry_Int_Tables_number 71
_symmetry_space_group_name_Hall '-I 2 2'
_cell_length_a 2.679
_cell_length_b 4.862
_cell_length_c 9.515
_cell_angle_alpha 90.00
_cell_angle_beta 90.00
_cell_angle_gamma 90.00
loop_
_atom_site_label
_atom_site_type_symbol
_atom_site_fract_x
_atom_site_fract_y
_atom_site_fract_z
Zn1 Zn 0.000 0.000 0.245
Si1 Si 0.000 0.500 0.500
Ag1 Ag 0.000 0.500 0.000
# - electronic total energy (Ry/atom) = -1.23579
# - crystal system = orthorhombic

---

(8)
# SCAN SbRh2W, single point on PBEsol structure
data_SbRh2W
_symmetry_space_group_name_H-M 'P m m 2'
_symmetry_Int_Tables_number 25
_cell_length_a 2.853
_cell_length_b 4.474
_cell_length_c 4.874
_cell_angle_alpha 90.00
_cell_angle_beta 90.00
_cell_angle_gamma 90.00
loop_
_symmetry_equiv_pos_as_xyz
'x,y,z'
'-x,-y,z'
'-x,y,z'
'x,-y,z'
loop_
_atom_site_label
_atom_site_type_symbol
_atom_site_fract_x
_atom_site_fract_y
_atom_site_fract_z
Sb1 Sb 0.000 0.000 0.000
Rh1 Rh 0.500 0.000 0.526
Rh2 Rh 0.500 0.500 0.858
W1 W 0.000 0.500 0.367
# - electronic total energy (Ry/atom) = -3.20203
# - crystal system = orthorhombic

---

(9)
# SCAN ZnCo2Br, single point on PBEsol structure
data_ZnCo2Br
_symmetry_space_group_name_H-M 'P 4 m m'
_symmetry_Int_Tables_number 99
_cell_length_a 2.937
_cell_length_b 2.937
_cell_length_c 7.016
_cell_angle_alpha 90.00
_cell_angle_beta 90.00
_cell_angle_gamma 90.00
loop_
_symmetry_equiv_pos_as_xyz
'x,y,z'
'-y,x,z'
'-x,-y,z'
'y,-x,z'
'-x,y,z'
'y,x,z'
'x,-y,z'
'-y,-x,z'
loop_
_atom_site_label
_atom_site_type_symbol
_atom_site_fract_x
_atom_site_fract_y
_atom_site_fract_z
Zn1 Zn 0.000 0.000 0.000
Co1 Co 0.000 0.000 0.620
Co2 Co 0.500 0.500 0.810
Br1 Br 0.500 0.500 0.393
# - energy relative to the lowest polymorph listed for this composition (meV per atom) = 90
# - crystal system = tetragonal

---

(10)
# SCAN GaTcSe3, single point on PBEsol structure
data_GaTcSe3
_symmetry_space_group_name_H-M 'P m -3 m'
_symmetry_Int_Tables_number 221
_symmetry_space_group_name_Hall '-P 4 2 3'
_cell_length_a 4.850
_cell_length_b 4.850
_cell_length_c 4.850
_cell_angle_alpha 90.00
_cell_angle_beta 90.00
_cell_angle_gamma 90.00
loop_
_atom_site_label
_atom_site_type_symbol
_atom_site_fract_x
_atom_site_fract_y
_atom_site_fract_z
Ga1 Ga 0.000 0.000 0.000
Tc1 Tc 0.500 0.500 0.500
Se1 Se 0.000 0.000 0.500
# - electronic total energy (Ry/atom) = -1.58387
# - crystal system = cubic

---

(11)
# SCAN Sr2NbSnAu, single point on PBEsol structure
data_Sr2NbSnAu
_symmetry_space_group_name_H-M 'P 4/m m m'
_symmetry_Int_Tables_number 123
_symmetry_space_group_name_Hall '-P 4 2'
_cell_length_a 5.750
_cell_length_b 5.750
_cell_length_c 4.979
_cell_angle_alpha 90.00
_cell_angle_beta 90.00
_cell_angle_gamma 90.00
loop_
_atom_site_label
_atom_site_type_symbol
_atom_site_fract_x
_atom_site_fract_y
_atom_site_fract_z
Sr1 Sr 0.000 0.500 0.000
Nb1 Nb 0.000 0.000 0.000
Sn1 Sn 0.500 0.500 0.500
Au1 Au 0.000 0.000 0.500
# - ΔH_f (0 K) (eV/atom) = 0.659
# - crystal system = tetragonal

---

(12)
# SCAN MnZn2Se, single point on PBEsol structure
data_MnZn2Se
_symmetry_space_group_name_H-M 'I m m 2'
_symmetry_Int_Tables_number 44
_cell_length_a 3.807
_cell_length_b 3.826
_cell_length_c 8.209
_cell_angle_alpha 90.00
_cell_angle_beta 90.00
_cell_angle_gamma 90.00
loop_
_symmetry_equiv_pos_as_xyz
'x,y,z'
'-x,-y,z'
'-x,y,z'
'x,-y,z'
'x+1/2,y+1/2,z+1/2'
'-x+1/2,-y+1/2,z+1/2'
'-x+1/2,y+1/2,z+1/2'
'x+1/2,-y+1/2,z+1/2'
loop_
_atom_site_label
_atom_site_type_symbol
_atom_site_fract_x
_atom_site_fract_y
_atom_site_fract_z
Mn1 Mn 0.000 0.000 0.000
Zn1 Zn 0.000 0.000 0.500
Zn2 Zn 0.000 0.500 0.750
Se1 Se 0.000 0.500 0.251
# - electronic total energy (Ry/atom) = -1.20172
# - crystal system = orthorhombic

---

(13)
# SCAN K2DyCl5, single point on PBEsol structure
data_K2DyCl5
_symmetry_space_group_name_H-M 'P n m a'
_symmetry_Int_Tables_number 62
_cell_length_a 12.552
_cell_length_b 8.441
_cell_length_c 7.869
_cell_angle_alpha 90.00
_cell_angle_beta 90.00
_cell_angle_gamma 90.00
loop_
_symmetry_equiv_pos_as_xyz
'x,y,z'
'-x,-y,-z'
'-x+1/2,-y,z+1/2'
'x+1/2,y,-z+1/2'
'x+1/2,-y+1/2,-z+1/2'
'-x+1/2,y+1/2,z+1/2'
'-x,y+1/2,-z'
'x,-y+1/2,z'
loop_
_atom_site_label
_atom_site_type_symbol
_atom_site_fract_x
_atom_site_fract_y
_atom_site_fract_z
K1 K 0.171 0.005 0.059
Dy1 Dy 0.005 0.250 0.575
Cl1 Cl 0.010 0.250 0.915
Cl2 Cl 0.072 0.544 0.665
Cl3 Cl 0.179 0.250 0.383
Cl4 Cl 0.200 0.750 0.345
# - electronic total energy (Ry/atom) = -1.13663
# - crystal system = orthorhombic

---

(14)
# SCAN YFe2TcW, single point on PBEsol structure
data_YFe2TcW
_symmetry_space_group_name_H-M 'P 4/m m m'
_symmetry_Int_Tables_number 123
_symmetry_space_group_name_Hall '-P 4 2'
_cell_length_a 4.475
_cell_length_b 4.475
_cell_length_c 4.666
_cell_angle_alpha 90.00
_cell_angle_beta 90.00
_cell_angle_gamma 90.00
loop_
_atom_site_label
_atom_site_type_symbol
_atom_site_fract_x
_atom_site_fract_y
_atom_site_fract_z
Y1 Y 0.000 0.000 0.000
Fe1 Fe 0.000 0.500 0.500
Tc1 Tc 0.500 0.500 0.500
W1 W 0.500 0.500 0.000
# - ΔH_f (0 K) (eV/atom) = 0.983
# - crystal system = tetragonal

---

(15)
# SCAN HgWSe2, single point on PBEsol structure
data_HgWSe2
_symmetry_space_group_name_H-M 'P m m 2'
_symmetry_Int_Tables_number 25
_cell_length_a 2.956
_cell_length_b 3.867
_cell_length_c 6.806
_cell_angle_alpha 90.00
_cell_angle_beta 90.00
_cell_angle_gamma 90.00
loop_
_symmetry_equiv_pos_as_xyz
'x,y,z'
'-x,-y,z'
'-x,y,z'
'x,-y,z'
loop_
_atom_site_label
_atom_site_type_symbol
_atom_site_fract_x
_atom_site_fract_y
_atom_site_fract_z
Hg1 Hg 0.000 0.000 0.000
W1 W 0.500 0.500 0.708
Se1 Se 0.000 0.000 0.567
Se2 Se 0.500 0.500 0.323
# - electronic total energy (Ry/atom) = -3.22615
# - crystal system = orthorhombic

---

(16)
# SCAN TeHSeBr2, single point on PBEsol structure
data_TeHSeBr2
_symmetry_space_group_name_H-M 'P 4/m m m'
_symmetry_Int_Tables_number 123
_symmetry_space_group_name_Hall '-P 4 2'
_cell_length_a 5.564
_cell_length_b 5.564
_cell_length_c 5.218
_cell_angle_alpha 90.00
_cell_angle_beta 90.00
_cell_angle_gamma 90.00
loop_
_atom_site_label
_atom_site_type_symbol
_atom_site_fract_x
_atom_site_fract_y
_atom_site_fract_z
Te1 Te 0.000 0.000 0.000
H1 H 0.500 0.500 0.500
Se1 Se 0.000 0.000 0.500
Br1 Br 0.000 0.500 0.000
# - electronic total energy (Ry/atom) = -1.43106
# - crystal system = tetragonal

---

(17)
# SCAN La3AgF, single point on PBEsol structure
data_La3AgF
_symmetry_space_group_name_H-M 'P m -3 m'
_symmetry_Int_Tables_number 221
_symmetry_space_group_name_Hall '-P 4 2 3'
_cell_length_a 5.007
_cell_length_b 5.007
_cell_length_c 5.007
_cell_angle_alpha 90.00
_cell_angle_beta 90.00
_cell_angle_gamma 90.00
loop_
_atom_site_label
_atom_site_type_symbol
_atom_site_fract_x
_atom_site_fract_y
_atom_site_fract_z
La1 La 0.000 0.000 0.500
Ag1 Ag 0.500 0.500 0.500
F1 F 0.000 0.000 0.000
# - energy relative to the lowest polymorph listed for this composition (meV per atom) = 0
# - crystal system = cubic

---

(18)
# SCAN TcSb2Se, single point on PBEsol structure
data_TcSb2Se
_symmetry_space_group_name_H-M 'I -4 2 d'
_symmetry_Int_Tables_number 122
_symmetry_space_group_name_Hall 'I -4 2bw'
_cell_length_a 6.222
_cell_length_b 6.222
_cell_length_c 11.884
_cell_angle_alpha 90.00
_cell_angle_beta 90.00
_cell_angle_gamma 90.00
loop_
_atom_site_label
_atom_site_type_symbol
_atom_site_fract_x
_atom_site_fract_y
_atom_site_fract_z
Tc1 Tc 0.000 0.000 0.000
Sb1 Sb 0.207 0.250 0.125
Se1 Se 0.000 0.000 0.500
# - electronic total energy (Ry/atom) = -2.34997
# - crystal system = tetragonal

---

(19)
# SCAN Cs2InAuCl6, single point on PBEsol structure
data_Cs2InAuCl6
_symmetry_space_group_name_H-M 'F m -3 m'
_symmetry_Int_Tables_number 225
_symmetry_space_group_name_Hall '-F 4 2 3'
_cell_length_a 10.372
_cell_length_b 10.372
_cell_length_c 10.372
_cell_angle_alpha 90.00
_cell_angle_beta 90.00
_cell_angle_gamma 90.00
loop_
_atom_site_label
_atom_site_type_symbol
_atom_site_fract_x
_atom_site_fract_y
_atom_site_fract_z
Cs1 Cs 0.250 0.250 0.250
In1 In 0.000 0.000 0.000
Au1 Au 0.000 0.000 0.500
Cl1 Cl 0.000 0.000 0.246
# - electronic total energy (Ry/atom) = -1.76647
# - crystal system = cubic

---

(20)
# SCAN BeCd3Re, single point on PBEsol structure
data_BeCd3Re
_symmetry_space_group_name_H-M 'P m -3 m'
_symmetry_Int_Tables_number 221
_symmetry_space_group_name_Hall '-P 4 2 3'
_cell_length_a 4.460
_cell_length_b 4.460
_cell_length_c 4.460
_cell_angle_alpha 90.00
_cell_angle_beta 90.00
_cell_angle_gamma 90.00
loop_
_atom_site_label
_atom_site_type_symbol
_atom_site_fract_x
_atom_site_fract_y
_atom_site_fract_z
Be1 Be 0.000 0.000 0.000
Cd1 Cd 0.000 0.000 0.500
Re1 Re 0.500 0.500 0.500
# - ΔH_f (0 K) (eV/atom) = 1.207
# - crystal system = cubic